Here is Li4Hg5 after structural relaxation from Alexandria via LeMat-Bulk. Energies are from PBE-GGA.

Cell: 3.338 5.249 10.952 Å, 86.16 81.23 71.46°
Atoms (fractional coordinates):
Hg (0.000, 0.000, 0.000)
Hg (0.100, 0.228, 0.572)
Hg (0.204, 0.449, 0.144)
Hg (0.900, 0.772, 0.428)
Hg (0.796, 0.551, 0.856)
Li (0.658, 0.329, 0.354)
Li (0.447, 0.891, 0.215)
Li (0.553, 0.109, 0.785)
Li (0.342, 0.671, 0.646)

Computed properties:
The value obtained for the density of states at the Fermi level is 0.250 states/eV/atom. As for the energy relative to the elements: -0.287 eV per atom. Its space-group type is C2/m, No. 12.